Density functional theory data (PBE with a Hubbard U) for an optimized crystal structure of KNbV2O8.

a b c (Å): 9.487 5.739 7.765
angles (deg): 90.00 90.82 90.00
Space group C2/m (No. 12)
Symmetry-distinct sites (fractional):
K: 0.000 0.000 0.000 [2 per cell]
Nb: 0.000 0.000 0.500 [2 per cell]
V: 0.148 0.500 0.281 [4 per cell]
O: 0.048 0.244 0.325 [8 per cell]
O: 0.189 0.500 0.076 [4 per cell]
O: 0.196 0.000 0.591 [4 per cell]

The value obtained for the density is 2.84 g cm⁻³. Its volume is 423 Å³ per cell. The value obtained for the uncorrected energy is -0.27981 Ha/atom.